(1)
The following is a PBE calculation of DyPu4In15 after structural relaxation, from the Alexandria database.

abc: 4.6478 4.6478 23.3122
angles: 90.00 90.00 90.00
Last column: nearest neighbours and their distance in Å.
Space group P4/mmm (No. 123)
Inequivalent atoms, fractional coordinates:
Dy1 0.0000 0.0000 0.0000 [1 per cell]  12 In 3.29
Pu1 0.0000 0.0000 0.1989 [2 per cell]  12 In 3.28-3.31
Pu2 0.0000 0.0000 0.3999 [2 per cell]  12 In 3.29
In1 0.0000 0.5000 0.0997 [4 per cell]  2 Pu 3.28, 8 In 3.29-3.30, 2 Dy 3.29
In2 0.0000 0.5000 0.2998 [4 per cell]  8 In 3.29, 4 Pu 3.29-3.31
In3 0.0000 0.5000 0.5000 [2 per cell]  8 In 3.29, 4 Pu 3.29
In4 0.5000 0.5000 0.0000 [1 per cell]  4 Dy 3.29, 8 In 3.29
In5 0.5000 0.5000 0.2000 [2 per cell]  4 Pu 3.29, 8 In 3.29-3.30
In6 0.5000 0.5000 0.3998 [2 per cell]  4 Pu 3.29, 8 In 3.29

Calculated values
The value obtained for the formation enthalpy at 0 K is -0.26 eV/atom. As for the spin magnetization: 0.009 μB per cell. As for the uncorrected energy: -5.408 eV per atom.


(2)
The following is a PBE calculation of K2ZnGeBr6 after structural relaxation, from the Alexandria database.

abc: 7.6745 7.6745 23.2377
angles: 90.00 90.00 120.00
Last column: nearest neighbours and their distance in Å.
Space group R3 (No. 146, hexagonal axes)
Inequivalent atoms, fractional coordinates:
K1 0.0000 0.0000 0.0000 [3 per cell]  6 Br 3.35-3.45
K2 0.0000 0.0000 0.4900 [3 per cell]  6 Br 3.34-3.37
Zn1 0.0000 0.0000 0.2323 [3 per cell]  3 Br 2.35
Ge1 0.0000 0.0000 0.7819 [3 per cell]  3 Br 2.56
Br1 0.0520 0.3406 0.8953 [9 per cell]  1 Zn 2.35
Br2 0.0735 0.7184 0.3941 [9 per cell]  1 Ge 2.56

Calculated values
The formation energy from raw total energies is -1.126 eV/atom. As for the spin magnetization: 0.000 μB per cell. As for the uncorrected energy: -2.938 eV per atom.


(3)
The following is a PBE calculation of AgPdAu6 after structural relaxation, from the Alexandria database.

abc: 4.8570 5.8890 9.9080
angles: 90.00 90.00 90.00
Last column: nearest neighbours and their distance in Å.
Space group Amm2 (No. 38)
Inequivalent atoms, fractional coordinates:
Ag1 0.0000 0.0000 0.0000 [2 per cell]  12 Au 2.88-2.96
Pd1 0.5000 0.0000 0.6703 [2 per cell]  12 Au 2.88-2.95
Au1 0.0000 0.0000 0.5011 [2 per cell]  8 Au 2.86-2.95, 2 Ag 2.94, 2 Pd 2.95
Au2 0.0000 0.2473 0.7492 [4 per cell]  8 Au 2.86-2.98, 2 Ag 2.88, 2 Pd 2.94
Au3 0.5000 0.0000 0.1703 [2 per cell]  8 Au 2.88-2.95, 2 Pd 2.94, 2 Ag 2.96
Au4 0.5000 0.2499 0.4201 [4 per cell]  8 Au 2.88-2.96, 2 Pd 2.88, 2 Ag 2.95

Calculated values
The value obtained for the formation enthalpy at 0 K is -0.04 eV/atom. As for the spin magnetization: 0.000 μB per cell. As for the uncorrected energy: -3.502 eV per atom. The offset from the most stable computed form comes out at 0.018 eV/atom.


(4)
The following is a PBE calculation of MnCo2I4 after structural relaxation, from the Alexandria database.

abc: 5.7469 5.7469 12.8829
angles: 90.00 90.00 90.00
Last column: nearest neighbours and their distance in Å.
Space group I4/mmm (No. 139)
Inequivalent atoms, fractional coordinates:
Mn1 0.0000 0.0000 0.0000 [2 per cell]  6 I 2.82-2.87
Co1 0.0000 0.0000 0.4173 [4 per cell]  1 Co 2.13
I1 0.0000 0.0000 0.2187 [4 per cell]  1 Co 2.56, 1 Mn 2.82
I2 0.0000 0.5000 0.0000 [4 per cell]  2 Mn 2.87, 4 Co 3.06

Calculated values
The formation energy from raw total energies is 0.275 eV/atom. As for the spin magnetization: 18.720 μB per cell. As for the uncorrected energy: -3.951 eV per atom.


(5)
The following is a PBE calculation of TiSbCl2 after structural relaxation, from the Alexandria database.

abc: 3.2134 3.2134 33.4445
angles: 90.00 90.00 120.00
Last column: nearest neighbours and their distance in Å.
Space group R-3m (No. 166, hexagonal axes)
Inequivalent atoms, fractional coordinates:
Ti1 0.0000 0.0000 0.0000 [3 per cell]  6 Cl 2.47
Sb1 0.0000 0.0000 0.5000 [3 per cell]  6 Sb 3.21
Cl1 0.0000 0.0000 0.3819 [6 per cell]  3 Ti 2.47

Calculated values
The formation energy from raw total energies is -0.874 eV/atom. As for the spin magnetization: 0.000 μB per cell. As for the uncorrected energy: -4.802 eV per atom. The offset from the most stable computed form comes out at 0.000 eV/atom.


(6)
The following is a PBE calculation of ScBRu2Au after structural relaxation, from the Alexandria database.

abc: 4.6279 4.6279 5.0253
angles: 90.00 90.00 90.00
Last column: nearest neighbours and their distance in Å.
Space group P4/mmm (No. 123)
Inequivalent atoms, fractional coordinates:
Sc1 0.0000 0.0000 0.0000 [1 per cell]  4 Ru 2.31, 2 Au 2.51
B1 0.5000 0.5000 0.5000 [1 per cell]  4 Au 3.27, 8 Ru 3.42
Ru1 0.0000 0.5000 0.0000 [2 per cell]  2 Sc 2.31
Au1 0.0000 0.0000 0.5000 [1 per cell]  2 Sc 2.51

Calculated values
The value obtained for the formation enthalpy at 0 K is 2.13 eV/atom. As for the spin magnetization: 1.710 μB per cell. As for the uncorrected energy: -4.839 eV per atom.


(7)
The following is a PBE calculation of Mg3TeI after structural relaxation, from the Alexandria database.

abc: 5.7965 5.7965 5.7965
angles: 90.00 90.00 90.00
Last column: nearest neighbours and their distance in Å.
Space group Pm-3m (No. 221)
Inequivalent atoms, fractional coordinates:
Mg1 0.0000 0.0000 0.5000 [3 per cell]  2 Te 2.90
Te1 0.0000 0.0000 0.0000 [1 per cell]  6 Mg 2.90
I1 0.5000 0.5000 0.5000 [1 per cell]  12 Mg 4.10

Calculated values
The formation energy from raw total energies is 0.041 eV/atom. As for the spin magnetization: 0.000 μB per cell. As for the uncorrected energy: -1.854 eV per atom. The offset from the most stable computed form comes out at 0.000 eV/atom.


(8)
The following is a PBE calculation of SmZn6Au12 after structural relaxation, from the Alexandria database.

abc: 11.9335 11.9335 8.7802
angles: 90.00 90.00 120.00
Last column: nearest neighbours and their distance in Å.
Space group R-3m (No. 166, hexagonal axes)
Inequivalent atoms, fractional coordinates:
Sm1 0.0000 0.0000 0.0000 [3 per cell]  6 Au 3.05
Zn1 0.0626 0.5313 0.2435 [18 per cell]  8 Au 2.64-2.95
Au1 0.0000 0.3818 0.5000 [18 per cell]  4 Zn 2.64-2.73, 3 Au 2.80-2.82
Au2 0.0826 0.1652 0.2880 [18 per cell]  4 Zn 2.72-2.95, 4 Au 2.80-2.96

Calculated values
The value obtained for the formation enthalpy at 0 K is -0.20 eV/atom. As for the spin magnetization: 0.000 μB per cell. As for the uncorrected energy: -2.919 eV per atom.